1.
Material: NaLi5O3
Method: DFT, PBE
State: optimized geometry

a b c (Å): 3.2655 5.7010 9.2280
angles (deg): 90.00 90.00 106.64
Closest atoms and distances in Å follow each position.
Atoms (fractional coordinates):
O (0.3742, 0.7484, 0.5452)  5 Li 1.91-2.10
O (0.9170, 0.8340, 0.2500)  6 Li 1.97-2.09
O (0.6258, 0.2516, 0.4548)  5 Li 1.91-2.10
O (0.0830, 0.1660, 0.7500)  6 Li 1.97-2.09
O (0.6258, 0.2516, 0.0452)  5 Li 1.91-2.10
O (0.3742, 0.7484, 0.9548)  5 Li 1.91-2.10
Na (0.8545, 0.7089, 0.7500)  5 O 2.50-2.51
Na (0.1455, 0.2911, 0.2500)  5 O 2.50-2.51
Li (0.5462, 0.0923, 0.8611)  4 O 1.91-2.07, 3 Li 2.05-2.14
Li (0.4538, 0.9077, 0.1389)  4 O 1.91-2.07, 3 Li 2.05-2.14
Li (0.4538, 0.9077, 0.3611)  4 O 1.91-2.07, 3 Li 2.05-2.14
Li (0.5462, 0.0923, 0.6389)  4 O 1.91-2.07, 3 Li 2.05-2.14
Li (0.1987, 0.3974, 0.9301)  4 O 1.93-2.10
Li (0.1987, 0.3974, 0.5699)  4 O 1.93-2.10
Li (0.8013, 0.6026, 0.0699)  4 O 1.93-2.10
Li (0.8013, 0.6026, 0.4301)  4 O 1.93-2.10
Li (0.0000, 0.0000, 0.0000)  6 Li 2.14-2.26, 4 O 2.17
Li (0.0000, 0.0000, 0.5000)  6 Li 2.14-2.26, 4 O 2.17

Summary:
Uncorrected formation energy: -14.6 eV/f.u.
E: -4.487 eV/atom


2.
Material: ErThOsAu
Method: DFT, PBE
State: optimized geometry

a b c (Å): 5.0425 5.0425 5.0425
angles (deg): 60.00 60.00 60.00
Closest atoms and distances in Å follow each position.
Atoms (fractional coordinates):
Er (0.5000, 0.5000, 0.5000)  4 Au 3.09, 4 Os 3.09
Os (0.2500, 0.2500, 0.2500)  4 Th 3.09, 4 Er 3.09
Au (0.7500, 0.7500, 0.7500)  4 Th 3.09, 4 Er 3.09
Th (0.0000, 0.0000, 0.0000)  4 Os 3.09, 4 Au 3.09

Summary:
E: -7.057 eV/atom
Formation energy: -0.43 eV/atom


3.
Material: CePmNd4
Method: DFT, PBE
State: optimized geometry

a b c (Å): 10.9639 6.3241 6.3269
angles (deg): 70.62 90.00 90.00
Closest atoms and distances in Å follow each position.
Atoms (fractional coordinates):
Nd (0.6638, 0.0003, 0.9995)  7 Nd 3.59-3.68, 3 Pm 3.64-3.69, 2 Ce 3.64
Nd (0.6663, 0.5003, 0.4993)  7 Nd 3.65-3.67, 3 Ce 3.65-3.66, 2 Pm 3.65
Nd (0.8337, 0.5003, 0.9993)  7 Nd 3.65-3.67, 3 Ce 3.65-3.66, 2 Pm 3.65
Nd (0.8362, 0.0003, 0.4995)  7 Nd 3.59-3.68, 3 Pm 3.64-3.69, 2 Ce 3.64
Nd (0.1638, 0.9997, 0.5005)  7 Nd 3.59-3.68, 3 Pm 3.64-3.69, 2 Ce 3.64
Nd (0.3362, 0.9997, 0.0005)  7 Nd 3.59-3.68, 3 Pm 3.64-3.69, 2 Ce 3.64
Nd (0.3337, 0.4997, 0.5007)  7 Nd 3.65-3.67, 3 Ce 3.65-3.66, 2 Pm 3.65
Nd (0.1663, 0.4997, 0.0007)  7 Nd 3.65-3.67, 3 Ce 3.65-3.66, 2 Pm 3.65
Ce (0.0000, 0.5000, 0.5000)  10 Nd 3.64-3.66, 2 Pm 3.66
Ce (0.5000, 0.5000, 0.0000)  10 Nd 3.64-3.66, 2 Pm 3.66
Pm (0.0000, 0.0000, 0.0000)  10 Nd 3.64-3.69, 2 Ce 3.66
Pm (0.5000, 0.0000, 0.5000)  10 Nd 3.64-3.69, 2 Ce 3.66

Summary:
E: -4.895 eV/atom
Formation energy: 0.06 eV/atom